First-principles (GGA+U) data for crystalline KVHSe2O7 at its relaxed geometry, as listed in the Alexandria database.

Properties
raw total energy = -5.79 eV per atom
magnetic moment = 1.000 μB per formula unit
theoretical density = 3.43 g cm⁻³

The structure in CIF format:
```
data_KVHSe2O7
_chemical_formula_sum 'K2 V2 H2 Se4 O14'
_cell_length_a 4.133
_cell_length_b 10.646
_cell_length_c 8.016
_cell_angle_alpha 90.00
_cell_angle_beta 97.35
_cell_angle_gamma 90.00
_space_group_name_H-M_alt 'P 1'
_space_group_IT_number 1
_space_group_name_Hall 'P 1'
loop_
_atom_site_label
_atom_site_type_symbol
_atom_site_fract_x
_atom_site_fract_y
_atom_site_fract_z
K1 K 0.092 0.250 0.052
K2 K 0.908 0.750 0.948
V1 V 0.042 0.750 0.445
V2 V 0.958 0.250 0.555
H1 H 0.500 0.000 0.000
H2 H 0.500 0.500 0.000
Se1 Se 0.296 0.512 0.690
Se2 Se 0.296 0.988 0.690
Se3 Se 0.704 0.012 0.310
Se4 Se 0.704 0.488 0.310
O1 O 0.017 0.117 0.379
O2 O 0.017 0.383 0.379
O3 O 0.081 0.121 0.738
O4 O 0.081 0.379 0.738
O5 O 0.390 0.574 0.892
O6 O 0.390 0.926 0.892
O7 O 0.448 0.750 0.455
O8 O 0.552 0.250 0.545
O9 O 0.610 0.074 0.108
O10 O 0.610 0.426 0.108
O11 O 0.919 0.621 0.262
O12 O 0.919 0.879 0.262
O13 O 0.983 0.617 0.621
O14 O 0.983 0.883 0.621
```